Record 1
An optimized crystal structure of YNp3Sb4. Source: the Alexandria database, functional GGA-PBE.

Output
SG: P2/c
Magnetization in μB/f.u.: 4.1
Formation energy from raw total energies in eV per atom: -0.41
D(E_F) in states/eV/f.u.: 33.89

Geometry as POSCAR:
```
YNp3Sb4
1.0
-0.038 -6.917 -3.159
1.307 -0.630 7.476
-8.656 -0.619 1.461
Sb Np Y
8 6 2
Cartesian
-6.596 -1.022 6.882
-5.082 -0.548 2.775
-0.790 -7.144 -1.103
-0.118 -4.015 4.206
-7.269 -4.150 1.573
-2.305 -7.618 3.003
-4.445 -4.314 4.947
-2.941 -3.852 0.831
-2.595 -2.276 3.495
-5.429 -2.117 0.125
-4.792 -5.890 2.284
-6.937 -2.586 4.228
-3.265 -5.419 -1.823
-0.450 -5.579 1.550
-1.090 -1.806 -0.607
-7.604 -5.729 -1.090
```

---

Record 2
An optimized crystal structure of YNpSb2. Source: the Alexandria database, functional GGA-PBE.

Output
Energy above the most stable polymorph in this dataset in meV per atom: 0
SG: R-3m
Magnetization in μB/f.u.: 3.9
Formation energy from raw total energies in eV per atom: -0.67
D(E_F) in states/eV/f.u.: 11.18

Geometry as POSCAR:
```
YNpSb2
1.0
-0.937 -0.108 4.282
1.099 -3.503 2.397
6.439 1.807 3.699
Y Sb Np
1 2 1
Cartesian
3.300 -0.902 5.189
1.650 -0.451 2.594
4.950 -1.353 7.783
0.000 0.000 0.000
```